# ZrTaTi2C4, optimized geometry, DFT PBE-GGA
# mass density: 7.707 Mg/m³
# M_tot: 0.00 μB per formula unit
# density of states at the Fermi level: 0.151 states/eV per atom
# formation energy from the elements: -0.76 eV/atom
# total energy: -9.89 eV/atom
data_ZrTaTi2C4
_chemical_formula_sum 'Zr1 Ta1 Ti2 C4'
_cell_length_a 5.451
_cell_length_b 3.175
_cell_length_c 5.492
_cell_angle_alpha 90.00
_cell_angle_beta 109.47
_cell_angle_gamma 90.00
_symmetry_space_group_name_H-M 'P 1 2/m 1'
_symmetry_Int_Tables_number 10
loop_
_symmetry_equiv_pos_as_xyz
'x,y,z'
'-x,-y,-z'
'-x,y,-z'
'x,-y,z'
loop_
_atom_site_label
_atom_site_fract_x
_atom_site_fract_y
_atom_site_fract_z
Zr1 0.000 0.000 0.000
Ta1 0.000 0.500 0.500
Ti1 0.500 0.000 0.500
Ti2 0.500 0.500 0.000
C1 0.257 0.000 0.746
C2 0.262 0.500 0.261


# Ta3TlC, optimized geometry, DFT PBE-GGA
# mass density: 15.181 Mg/m³
# M_tot: 0.00 μB per formula unit
# density of states at the Fermi level: 1.559 states/eV per atom
# formation energy from the elements: 0.16 eV/atom
# total energy: -9.27 eV/atom
data_Ta3TlC
_chemical_formula_sum 'Ta3 Tl1 C1'
_cell_length_a 4.363
_cell_length_b 4.363
_cell_length_c 4.363
_cell_angle_alpha 90.00
_cell_angle_beta 90.00
_cell_angle_gamma 90.00
_symmetry_space_group_name_H-M 'P m -3 m'
_symmetry_Int_Tables_number 221
_symmetry_space_group_name_Hall '-P 4 2 3'
loop_
_atom_site_label
_atom_site_fract_x
_atom_site_fract_y
_atom_site_fract_z
Ta1 0.000 0.000 0.500
Tl1 0.500 0.500 0.500
C1 0.000 0.000 0.000